[1]
# K2CaSiB (SCAN, PBEsol geometry)
# **Size of the total moment**: 0.832 μB per atom
# **Uncorrected formation energy**: 0.9423 eV/atom
data_K2CaSiB
_chemical_formula_sum 'K2 Ca1 Si1 B1'
_cell_length_a 5.507
_cell_length_b 5.507
_cell_length_c 5.309
_cell_angle_alpha 90.00
_cell_angle_beta 90.00
_cell_angle_gamma 90.00
_space_group_name_H-M_alt 'P 4/m m m'
_space_group_IT_number 123
_space_group_name_Hall '-P 4 2'
loop_
_atom_site_label
_atom_site_type_symbol
_atom_site_fract_x
_atom_site_fract_y
_atom_site_fract_z
K1 K 0.000 0.500 0.000
Ca1 Ca 0.000 0.000 0.500
Si1 Si 0.500 0.500 0.500
B1 B 0.000 0.000 0.000

[2]
# Tl2PtCl (SCAN, PBEsol geometry)
# **Size of the total moment**: 0.000 μB per atom
# **Uncorrected formation energy**: -0.1690 eV/atom
data_Tl2PtCl
_chemical_formula_sum 'Tl2 Pt1 Cl1'
_cell_length_a 3.130
_cell_length_b 3.659
_cell_length_c 7.597
_cell_angle_alpha 90.00
_cell_angle_beta 90.00
_cell_angle_gamma 90.00
_space_group_name_H-M_alt 'P m m m'
_space_group_IT_number 47
_space_group_name_Hall '-P 2 2'
loop_
_atom_site_label
_atom_site_type_symbol
_atom_site_fract_x
_atom_site_fract_y
_atom_site_fract_z
Tl1 Tl 0.000 0.000 0.224
Pt1 Pt 0.500 0.500 0.000
Cl1 Cl 0.500 0.500 0.500

[3]
# Mg30MnZnO32 (SCAN, PBEsol geometry)
# **Size of the total moment**: 0.016 μB per atom
# **Uncorrected formation energy**: -2.9013 eV/atom
data_Mg30MnZnO32
_chemical_formula_sum 'Mg30 Mn1 Zn1 O32'
_cell_length_a 8.425
_cell_length_b 8.425
_cell_length_c 8.432
_cell_angle_alpha 90.00
_cell_angle_beta 90.00
_cell_angle_gamma 90.00
_space_group_name_H-M_alt 'P 4/m m m'
_space_group_IT_number 123
_space_group_name_Hall '-P 4 2'
loop_
_atom_site_label
_atom_site_type_symbol
_atom_site_fract_x
_atom_site_fract_y
_atom_site_fract_z
Mg1 Mg 0.000 0.000 0.000
Mg2 Mg 0.000 0.000 0.500
Mg3 Mg 0.000 0.250 0.250
Mg4 Mg 0.000 0.500 0.000
Mg5 Mg 0.000 0.500 0.500
Mg6 Mg 0.250 0.250 0.000
Mg7 Mg 0.252 0.252 0.500
Mg8 Mg 0.252 0.500 0.251
Mn1 Mn 0.500 0.500 0.500
Zn1 Zn 0.500 0.500 0.000
O1 O 0.000 0.000 0.250
O2 O 0.000 0.250 0.000
O3 O 0.000 0.251 0.500
O4 O 0.000 0.500 0.251
O5 O 0.249 0.500 0.000
O6 O 0.250 0.250 0.250
O7 O 0.251 0.500 0.500
O8 O 0.500 0.500 0.255

[4]
# LaTiO2 (SCAN, PBEsol geometry)
# **Size of the total moment**: 0.262 μB per atom
# **Uncorrected formation energy**: -2.8325 eV/atom
data_LaTiO2
_chemical_formula_sum 'La3 Ti3 O6'
_cell_length_a 3.8090
_cell_length_b 3.8090
_cell_length_c 17.3443
_cell_angle_alpha 90.00
_cell_angle_beta 90.00
_cell_angle_gamma 120.00
_space_group_name_H-M_alt 'R -3 m'
_space_group_IT_number 166
_space_group_name_Hall '-R 3 2"'
loop_
_atom_site_label
_atom_site_type_symbol
_atom_site_fract_x
_atom_site_fract_y
_atom_site_fract_z
La1 La 0.0000 0.0000 0.0000
Ti1 Ti 0.0000 0.0000 0.5000
O1 O 0.0000 0.0000 0.3919

[5]
# HgPtAu2 (SCAN, PBEsol geometry)
# **ΔH_f (0 K)**: 0.08 eV/atom
# **Size of the total moment**: 0.000 μB per atom
data_HgPtAu2
_chemical_formula_sum 'Hg2 Pt2 Au4'
_cell_length_a 2.911
_cell_length_b 4.819
_cell_length_c 9.860
_cell_angle_alpha 90.00
_cell_angle_beta 90.00
_cell_angle_gamma 90.00
_space_group_name_H-M_alt 'I m m m'
_space_group_IT_number 71
_space_group_name_Hall '-I 2 2'
loop_
_atom_site_label
_atom_site_type_symbol
_atom_site_fract_x
_atom_site_fract_y
_atom_site_fract_z
Hg1 Hg 0.000 0.000 0.000
Pt1 Pt 0.000 0.000 0.500
Au1 Au 0.000 0.500 0.242

[6]
# Mn3Fe2P6WO24 (SCAN, PBEsol geometry)
# **Size of the total moment**: 0.138 μB per atom
# **Uncorrected formation energy**: -1.2646 eV/atom
data_Mn3Fe2P6WO24
_chemical_formula_sum 'Mn9 Fe6 P18 W3 O72'
_cell_length_a 9.2572
_cell_length_b 9.2572
_cell_length_c 24.1685
_cell_angle_alpha 90.00
_cell_angle_beta 90.00
_cell_angle_gamma 120.00
_space_group_name_H-M_alt 'R 3'
_space_group_IT_number 146
_space_group_name_Hall 'R 3'
loop_
_atom_site_label
_atom_site_type_symbol
_atom_site_fract_x
_atom_site_fract_y
_atom_site_fract_z
Mn1 Mn 0.0000 0.0000 0.0000
Mn2 Mn 0.0000 0.0000 0.1891
Mn3 Mn 0.0000 0.0000 0.6922
Fe1 Fe 0.0000 0.0000 0.0923
Fe2 Fe 0.0000 0.0000 0.7846
P1 P 0.0096 0.6564 0.1655
P2 P 0.0690 0.4809 0.2685
W1 W 0.0000 0.0000 0.8973
O1 O 0.0059 0.8056 0.1965
O2 O 0.0369 0.8631 0.8426
O3 O 0.0466 0.8612 0.6464
O4 O 0.0802 0.8390 0.5439
O5 O 0.0849 0.1761 0.0554
O6 O 0.0921 0.0041 0.3972
O7 O 0.1676 0.0438 0.7417
O8 O 0.1926 0.0854 0.9445

[7]
# TaBe2Cd (SCAN, PBEsol geometry)
# **ΔH_f (0 K)**: 0.23 eV/atom
# **Size of the total moment**: 0.000 μB per atom
data_TaBe2Cd
_chemical_formula_sum 'Ta1 Be2 Cd1'
_cell_length_a 2.795
_cell_length_b 3.804
_cell_length_c 5.387
_cell_angle_alpha 90.00
_cell_angle_beta 90.00
_cell_angle_gamma 90.00
_space_group_name_H-M_alt 'P m m m'
_space_group_IT_number 47
_space_group_name_Hall '-P 2 2'
loop_
_atom_site_label
_atom_site_type_symbol
_atom_site_fract_x
_atom_site_fract_y
_atom_site_fract_z
Ta1 Ta 0.000 0.000 0.000
Be1 Be 0.500 0.500 0.195
Cd1 Cd 0.500 0.000 0.500

[8]
# LaMgSb (SCAN, PBEsol geometry)
# **Size of the total moment**: 0.000 μB per atom
# **Uncorrected formation energy**: -0.4726 eV/atom
data_LaMgSb
_chemical_formula_sum 'La4 Mg4 Sb4'
_cell_length_a 7.175
_cell_length_b 7.175
_cell_length_c 7.175
_cell_angle_alpha 90.00
_cell_angle_beta 90.00
_cell_angle_gamma 90.00
_space_group_name_H-M_alt 'F -4 3 m'
_space_group_IT_number 216
_space_group_name_Hall 'F -4 2 3'
loop_
_atom_site_label
_atom_site_type_symbol
_atom_site_fract_x
_atom_site_fract_y
_atom_site_fract_z
La1 La 0.000 0.000 0.000
Mg1 Mg 0.000 0.000 0.500
Sb1 Sb 0.250 0.250 0.750

[9]
# Fe3Co5 (SCAN, PBEsol geometry)
# **ΔH_f (0 K)**: -0.12 eV/atom
# **Size of the total moment**: 2.194 μB per atom
data_Fe3Co5
_chemical_formula_sum 'Fe3 Co5'
_cell_length_a 2.769
_cell_length_b 2.769
_cell_length_c 11.266
_cell_angle_alpha 90.00
_cell_angle_beta 90.00
_cell_angle_gamma 90.00
_space_group_name_H-M_alt 'P 4 m m'
_space_group_IT_number 99
_space_group_name_Hall 'P 4 -2'
loop_
_atom_site_label
_atom_site_type_symbol
_atom_site_fract_x
_atom_site_fract_y
_atom_site_fract_z
Fe1 Fe 0.000 0.000 0.000
Fe2 Fe 0.000 0.000 0.252
Fe3 Fe 0.500 0.500 0.382
Co1 Co 0.000 0.000 0.504
Co2 Co 0.000 0.000 0.751
Co3 Co 0.500 0.500 0.127
Co4 Co 0.500 0.500 0.631
Co5 Co 0.500 0.500 0.879

[10]
# BiAs2OsW (SCAN, PBEsol geometry)
# **ΔH_f (0 K)**: 1.60 eV/atom
# **Size of the total moment**: 0.456 μB per atom
data_BiAs2OsW
_chemical_formula_sum 'Bi1 As2 Os1 W1'
_cell_length_a 4.698
_cell_length_b 4.698
_cell_length_c 5.426
_cell_angle_alpha 90.00
_cell_angle_beta 90.00
_cell_angle_gamma 90.00
_space_group_name_H-M_alt 'P 4/m m m'
_space_group_IT_number 123
_space_group_name_Hall '-P 4 2'
loop_
_atom_site_label
_atom_site_type_symbol
_atom_site_fract_x
_atom_site_fract_y
_atom_site_fract_z
Bi1 Bi 0.000 0.000 0.000
As1 As 0.000 0.500 0.500
Os1 Os 0.500 0.500 0.000
W1 W 0.000 0.000 0.500

[11]
# TiCdS3 (SCAN, PBEsol geometry)
# **Size of the total moment**: 0.207 μB per atom
# **Uncorrected formation energy**: 0.3908 eV/atom
data_TiCdS3
_chemical_formula_sum 'Ti1 Cd1 S3'
_cell_length_a 4.815
_cell_length_b 4.815
_cell_length_c 4.815
_cell_angle_alpha 90.00
_cell_angle_beta 90.00
_cell_angle_gamma 90.00
_space_group_name_H-M_alt 'P m -3 m'
_space_group_IT_number 221
_space_group_name_Hall '-P 4 2 3'
loop_
_atom_site_label
_atom_site_type_symbol
_atom_site_fract_x
_atom_site_fract_y
_atom_site_fract_z
Ti1 Ti 0.000 0.000 0.000
Cd1 Cd 0.500 0.500 0.500
S1 S 0.000 0.500 0.500

[12]
# VCuO4 (SCAN, PBEsol geometry)
# **Size of the total moment**: 0.000 μB per atom
# **Uncorrected formation energy**: -1.6657 eV/atom
data_VCuO4
_chemical_formula_sum 'V4 Cu4 O16'
_cell_length_a 5.597
_cell_length_b 6.106
_cell_length_c 7.531
_cell_angle_alpha 90.00
_cell_angle_beta 90.00
_cell_angle_gamma 90.00
_space_group_name_H-M_alt 'I m m a'
_space_group_IT_number 74
_space_group_name_Hall '-I 2b 2'
loop_
_atom_site_label
_atom_site_type_symbol
_atom_site_fract_x
_atom_site_fract_y
_atom_site_fract_z
V1 V 0.000 0.250 0.213
Cu1 Cu 0.250 0.250 0.750
O1 O 0.000 0.057 0.730
O2 O 0.241 0.250 0.082

- Look up the size of the total moment of the fourth one.
  0.262 μB per atom

What did the seventh record say?
# TaBe2Cd (SCAN, PBEsol geometry)
# **ΔH_f (0 K)**: 0.23 eV/atom
# **Size of the total moment**: 0.000 μB per atom
data_TaBe2Cd
_chemical_formula_sum 'Ta1 Be2 Cd1'
_cell_length_a 2.795
_cell_length_b 3.804
_cell_length_c 5.387
_cell_angle_alpha 90.00
_cell_angle_beta 90.00
_cell_angle_gamma 90.00
_space_group_name_H-M_alt 'P m m m'
_space_group_IT_number 47
_space_group_name_Hall '-P 2 2'
loop_
_atom_site_label
_atom_site_type_symbol
_atom_site_fract_x
_atom_site_fract_y
_atom_site_fract_z
Ta1 Ta 0.000 0.000 0.000
Be1 Be 0.500 0.500 0.195
Cd1 Cd 0.500 0.000 0.500

- size of the total moment of number 3 (Mg30MnZnO32)?
  0.016 μB per atom